No. 1
A plane-wave DFT calculation with PBEsol was carried out for CrBr2Cl after structural relaxation.

a b c (Å): 3.221 3.221 8.282
angles (deg): 90.00 90.00 90.00
Fractional positions:
Br 0.000 0.000 0.311
Cl 0.500 0.500 0.000
Cr 0.500 0.500 0.500
Br 0.000 0.000 0.689

Output
ΔE_f (raw) = 44.4 meV/atom
Energy relative to the lowest polymorph listed for this composition = 158.6 meV/atom
Total magnetization = 3.78 μB per cell
SG = P4/mmm (123)

No. 2
A plane-wave DFT calculation with PBEsol was carried out for Ag3BW after structural relaxation.

a b c (Å): 4.987 4.987 4.987
angles (deg): 90.00 90.00 90.00
Fractional positions:
Ag 0.000 0.500 0.000
B 0.500 0.500 0.500
Ag 0.500 0.000 0.000
W 0.000 0.000 0.000
Ag 0.000 0.000 0.500

Output
Total magnetization = 0.00 μB per cell
DFT formation energy = 13.589 eV/f.u.
SG = Pm-3m (221)

No. 3
A plane-wave DFT calculation with PBEsol was carried out for In2SiSb after structural relaxation.

a b c (Å): 3.253 5.686 5.686
angles (deg): 114.22 97.44 97.44
Fractional positions:
In 0.000 0.000 0.500
Si 0.500 0.000 0.000
Sb 0.500 0.500 0.500
In 0.000 0.500 0.000

Output
ΔE_f (raw) = 294.6 meV/atom
Energy relative to the lowest polymorph listed for this composition = 22.5 meV/atom
Total magnetization = 0.00 μB per cell
SG = C2/m (12)

No. 4
A plane-wave DFT calculation with PBEsol was carried out for BeTc2Cl after structural relaxation.

a b c (Å): 2.744 2.744 7.992
angles (deg): 90.00 90.00 118.46
Fractional positions:
Be 0.500 0.500 0.500
Tc 0.000 0.000 0.264
Cl 0.500 0.500 0.000
Tc 0.000 0.000 0.736

Output
ΔE_f (raw) = 566.6 meV/atom
Energy relative to the lowest polymorph listed for this composition = 0.0 meV/atom
Total magnetization = 0.00 μB per cell
SG = Cmmm (65)

- Which of these has the highest total magnetization?
  CrBr2Cl